Entry 1:
Material: GeSb2TeH
Method: DFT, meta-GGA SCAN
State: single point on PBEsol structure

Properties
size of the total moment	0.8	μB per formula unit
raw total energy	-25.79	eV per atom

abc: 5.2913 5.2913 5.4361
angles: 90.00 90.00 90.00
Closest atoms and distances in Å follow each position.
Positions (direct):
H: 0.5000 0.5000 0.5000  4 Te 3.74, 8 Sb 3.79
Sb: 0.0000 0.5000 0.0000  2 Ge 2.65
Sb: 0.5000 0.0000 0.0000  2 Ge 2.65
Ge: 0.0000 0.0000 0.0000  4 Sb 2.65, 2 Te 2.72
Te: 0.0000 0.0000 0.5000  2 Ge 2.72


Entry 2:
Material: CrSnO2
Method: DFT, meta-GGA SCAN
State: single point on PBEsol structure

Properties
raw formation energy	-54.65	kJ/mol of atoms
energy above the lowest structure with this stoichiometry	29.95	kcal/mol of atoms
size of the total moment	4.0	μB per formula unit

abc: 4.0733 4.0733 4.0733
angles: 60.00 60.00 60.00
Closest atoms and distances in Å follow each position.
Positions (direct):
O: 0.2500 0.2500 0.2500  4 Cr 2.49, 4 Sn 2.49
O: 0.7500 0.7500 0.7500  4 Cr 2.49, 4 Sn 2.49
Sn: 0.5000 0.5000 0.5000  8 O 2.49
Cr: 0.0000 0.0000 0.0000  8 O 2.49


Entry 3:
Material: TiCuC2
Method: DFT, meta-GGA SCAN
State: single point on PBEsol structure

Properties
energy relative to the elements	0.86	eV per atom
size of the total moment	0.0	μB per formula unit

abc: 3.9053 3.9053 6.3916
angles: 107.79 107.79 90.00
Closest atoms and distances in Å follow each position.
Positions (direct):
Cu: 0.0000 0.0000 0.0000  4 C 1.92
Cu: 0.2500 0.7500 0.5000  4 C 1.92
Ti: 0.5000 0.5000 0.0000  4 C 2.09
Ti: 0.7500 0.2500 0.5000  4 C 2.09
C: 0.1250 0.0801 0.7500  2 Cu 1.92, 2 Ti 2.09
C: 0.9199 0.3750 0.2500  2 Cu 1.92, 2 Ti 2.09
C: 0.6250 0.6699 0.7500  2 Cu 1.92, 2 Ti 2.09
C: 0.3301 0.8750 0.2500  2 Cu 1.92, 2 Ti 2.09


Entry 4:
Material: K2CaAg
Method: DFT, meta-GGA SCAN
State: single point on PBEsol structure

Properties
energy relative to the elements	0.00	eV per atom
energy above the lowest structure with this stoichiometry	0.00	kcal/mol of atoms
size of the total moment	0.0	μB per formula unit

abc: 3.9244 3.9244 10.8843
angles: 90.00 90.00 90.00
Closest atoms and distances in Å follow each position.
Positions (direct):
K: 0.0000 0.0000 0.9682  4 K 3.92, 4 Ca 4.30
K: 0.5000 0.5000 0.3255  4 Ag 3.63, 1 Ca 3.71, 4 K 3.92
Ca: 0.5000 0.5000 0.6661  4 Ag 3.09
Ag: 0.0000 0.0000 0.5403  4 Ca 3.09


Entry 5:
Material: LiFePO4
Method: DFT, meta-GGA SCAN
State: single point on PBEsol structure

Properties
raw formation energy	-214.15	kJ/mol of atoms
energy above the lowest structure with this stoichiometry	0.66	kcal/mol of atoms
size of the total moment	4.0	μB per formula unit

abc: 5.3756 5.3756 6.2101
angles: 103.73 103.73 116.85
Closest atoms and distances in Å follow each position.
Positions (direct):
O: 0.4228 0.3802 0.6439  1 P 1.54
O: 0.9209 0.9616 0.1629  1 P 1.56
O: 0.0137 0.4712 0.1439  1 P 1.54
O: 0.5080 0.0487 0.3371  1 P 1.56
O: 0.6198 0.5772 0.3561  1 P 1.54
O: 0.5288 0.9863 0.8561  1 P 1.54
O: 0.9513 0.4920 0.6629  1 P 1.56
O: 0.0384 0.0791 0.8371  1 P 1.56
Fe: 0.9382 0.0618 0.5000  4 O 2.00-2.16
Fe: 0.1882 0.8118 0.0000  4 O 2.00-2.16
Li: 0.5651 0.4349 0.0000  4 O 2.06-2.26
Li: 0.3151 0.6849 0.5000  4 O 2.06-2.26
P: 0.6205 0.3795 0.5000  4 O 1.54-1.56
P: 0.8705 0.1295 0.0000  4 O 1.54-1.56


Entry 6:
Material: ScTeCl4
Method: DFT, meta-GGA SCAN
State: single point on PBEsol structure

Properties
raw formation energy	1.27	kJ/mol of atoms
size of the total moment	2.9	μB per formula unit

abc: 5.6481 5.6481 5.6481
angles: 60.00 60.00 60.00
Closest atoms and distances in Å follow each position.
Positions (direct):
Cl: 0.3757 0.8730 0.3757  6 Cl 2.81-2.84
Cl: 0.8730 0.3757 0.3757  6 Cl 2.81-2.84
Cl: 0.3757 0.3757 0.8730  6 Cl 2.81-2.84
Cl: 0.3757 0.3757 0.3757  6 Cl 2.81-2.84
Sc: 0.7500 0.7500 0.7500  12 Cl 3.31, 4 Te 3.46
Te: 0.0000 0.0000 0.0000  12 Cl 3.31, 4 Sc 3.46


Entry 7:
Material: Rb2SbCl3F2
Method: DFT, meta-GGA SCAN
State: single point on PBEsol structure

Properties
raw formation energy	-202.32	kJ/mol of atoms
size of the total moment	0.0	μB per formula unit

abc: 7.4234 7.4306 13.0577
angles: 84.62 79.02 60.67
Closest atoms and distances in Å follow each position.
Positions (direct):
Cl: 0.5000 0.0000 0.5000  2 Sb 2.84
Cl: 0.7097 0.2197 0.8828  1 Sb 2.64
Cl: 0.2903 0.7803 0.1172  1 Sb 2.64
Cl: 0.7373 0.8920 0.1179  1 Sb 2.64
Cl: 0.1898 0.6857 0.4990  2 Sb 2.97-2.99, 2 Rb 3.28-3.31
Cl: 0.8528 0.3303 0.1170  1 Sb 2.64
Cl: 0.8102 0.3143 0.5010  2 Sb 2.97-2.99, 2 Rb 3.28-3.31
Cl: 0.1472 0.6697 0.8830  1 Sb 2.64
Cl: 0.2627 0.1080 0.8821  1 Sb 2.64
Rb: 0.4362 0.3368 0.6925  3 F 2.99-3.13, 4 Cl 3.29-3.31
Rb: 0.8982 0.0002 0.3148  3 F 2.99-3.13, 4 Cl 3.28-3.34
Rb: 0.6948 0.6681 0.9084  3 F 3.13-3.27, 6 Cl 3.32-3.48
Rb: 0.5638 0.6632 0.3075  3 F 2.99-3.13, 4 Cl 3.29-3.31
Rb: 0.1018 0.9998 0.6852  3 F 2.99-3.13, 4 Cl 3.28-3.34
Rb: 0.3052 0.3319 0.0916  3 F 3.13-3.27, 6 Cl 3.32-3.48
Sb: 0.1953 0.3380 0.4007  3 F 1.99-2.00
Sb: 0.8047 0.6620 0.5993  3 F 1.99-2.00
Sb: 0.0000 0.0000 0.0000  6 Cl 2.64
F: 0.4359 0.3402 0.3044  1 Sb 1.99
F: 0.0072 0.5553 0.3104  1 Sb 2.00
F: 0.2251 0.1290 0.3049  1 Sb 1.99
F: 0.7749 0.8710 0.6951  1 Sb 1.99
F: 0.9928 0.4447 0.6896  1 Sb 2.00
F: 0.5641 0.6598 0.6956  1 Sb 1.99


Entry 8:
Material: TlCrGaPb2
Method: DFT, meta-GGA SCAN
State: single point on PBEsol structure

Properties
energy relative to the elements	0.84	eV per atom
size of the total moment	4.5	μB per formula unit

abc: 5.1817 5.7091 5.7091
angles: 90.00 90.00 90.00
Closest atoms and distances in Å follow each position.
Positions (direct):
Pb: 0.0000 0.0000 0.5000  2 Tl 2.85
Pb: 0.0000 0.5000 0.0000  2 Tl 2.85
Cr: 0.5000 0.0000 0.0000  2 Tl 2.59
Tl: 0.0000 0.0000 0.0000  2 Cr 2.59, 4 Pb 2.85
Ga: 0.5000 0.5000 0.5000  8 Pb 3.86, 4 Cr 4.04


Entry 9:
Material: Li2CoSi
Method: DFT, meta-GGA SCAN
State: single point on PBEsol structure

Properties
raw formation energy	20.03	kJ/mol of atoms
size of the total moment	1.2	μB per formula unit

abc: 4.4880 5.2639 5.2639
angles: 79.53 64.77 64.77
Closest atoms and distances in Å follow each position.
Positions (direct):
Li: 0.8750 0.4862 0.0138  2 Li 2.25, 2 Co 2.38, 2 Si 2.51
Li: 0.3750 0.5138 0.9862  2 Li 2.25, 2 Co 2.38, 2 Si 2.51
Li: 0.6388 0.9862 0.4862  2 Li 2.25, 2 Co 2.38, 2 Si 2.51
Li: 0.1112 0.0138 0.5138  2 Li 2.25, 2 Co 2.38, 2 Si 2.51
Co: 0.0000 0.0000 0.0000  2 Si 2.24, 4 Li 2.38
Co: 0.7500 0.5000 0.5000  2 Si 2.24, 4 Li 2.38
Si: 0.2500 0.5000 0.5000  2 Co 2.24, 4 Li 2.51
Si: 0.5000 0.0000 0.0000  2 Co 2.24, 4 Li 2.51


Entry 10:
Material: CdCu2Br
Method: DFT, meta-GGA SCAN
State: single point on PBEsol structure

Properties
raw formation energy	26.71	kJ/mol of atoms
energy above the lowest structure with this stoichiometry	5.10	kcal/mol of atoms
size of the total moment	0.0	μB per formula unit

abc: 3.2617 3.2420 7.9033
angles: 90.00 90.00 120.20
Closest atoms and distances in Å follow each position.
Positions (direct):
Cu: 0.0000 0.0000 0.7430  2 Br 2.52, 2 Cd 2.60
Cu: 0.0000 0.0000 0.2570  2 Br 2.52, 2 Cd 2.60
Br: 0.5000 0.0000 0.5000  4 Cu 2.52
Cd: 0.5000 0.0000 0.0000  4 Cu 2.60


Entry 11:
Material: BeZnAsBr2
Method: DFT, meta-GGA SCAN
State: single point on PBEsol structure

Properties
raw formation energy	62.70	kJ/mol of atoms
energy above the lowest structure with this stoichiometry	8.58	kcal/mol of atoms
size of the total moment	1.0	μB per formula unit

abc: 4.9962 4.9369 4.9369
angles: 90.00 90.00 90.00
Closest atoms and distances in Å follow each position.
Positions (direct):
Zn: 0.0000 0.0000 0.0000  4 Br 2.47, 2 As 2.50
Br: 0.0000 0.5000 0.0000  2 Zn 2.47
Br: 0.0000 0.0000 0.5000  2 Zn 2.47
As: 0.5000 0.0000 0.0000  2 Zn 2.50
Be: 0.5000 0.5000 0.5000  4 As 3.49, 8 Br 3.51


Entry 12:
Material: NaCuAsBr2
Method: DFT, meta-GGA SCAN
State: single point on PBEsol structure

Properties
raw formation energy	49.36	kJ/mol of atoms
size of the total moment	3.0	μB per formula unit

abc: 5.2371 5.2371 5.3499
angles: 90.00 90.00 90.00
Closest atoms and distances in Å follow each position.
Positions (direct):
Br: 0.0000 0.5000 0.0000  2 Na 2.62
Br: 0.5000 0.0000 0.0000  2 Na 2.62
As: 0.0000 0.0000 0.5000  2 Na 2.67
Na: 0.0000 0.0000 0.0000  4 Br 2.62, 2 As 2.67
Cu: 0.5000 0.5000 0.5000  4 As 3.70, 8 Br 3.74


Entry 13:
Material: Bi3Sb5Pb4O21
Method: DFT, meta-GGA SCAN
State: single point on PBEsol structure

Properties
raw formation energy	-138.18	kJ/mol of atoms
size of the total moment	0.0	μB per formula unit

abc: 7.3525 7.3660 10.0273
angles: 89.65 89.53 60.54
Closest atoms and distances in Å follow each position.
Positions (direct):
O: 0.5973 0.2031 0.0464  2 Sb 2.00-2.01
O: 0.0757 0.4681 0.8089  2 Sb 1.99-2.00
O: 0.7961 0.4000 0.4108  1 Sb 2.00
O: 0.2056 0.2000 0.5963  1 Sb 1.99
O: 0.9808 0.0066 0.2426  1 Bi 2.17, 2 Pb 2.31-2.35
O: 0.7966 0.7975 0.4129  1 Sb 1.99
O: 0.2086 0.5951 0.5904  1 Sb 2.00
O: 0.9360 0.5408 0.1969  2 Sb 2.00-2.02
O: 0.2073 0.5969 0.0436  2 Sb 1.99
O: 0.5394 0.5319 0.1932  2 Sb 2.00-2.01
O: 0.4074 0.7893 0.4118  1 Sb 1.98
O: 0.5398 0.9253 0.1933  2 Sb 1.98-2.01
O: 0.0313 0.9920 0.5035  3 Bi 2.21-2.35
O: 0.4715 0.0698 0.8086  2 Sb 1.98-2.01
O: 0.6011 0.1973 0.5907  1 Sb 2.00
O: 0.4794 0.4628 0.8034  2 Sb 2.00-2.02
O: 0.9968 0.9956 0.7565  2 Bi 2.24-2.25, 2 Pb 2.34-2.45
O: 0.2058 0.2018 0.0467  2 Sb 2.00
O: 0.8045 0.4024 0.9592  2 Sb 1.98-1.99
O: 0.4069 0.7981 0.9552  2 Sb 1.98-1.99
O: 0.8014 0.7969 0.9547  2 Sb 2.00-2.01
Sb: 0.6682 0.6641 0.3048  6 O 1.98-2.02
Sb: 0.3381 0.3333 0.6995  6 O 1.99-2.02
Sb: 0.5033 0.9986 0.0011  6 O 1.98-2.00
Sb: 0.5051 0.5006 0.9985  6 O 1.99-2.01
Sb: 0.0054 0.4999 0.0022  6 O 1.98-2.01
Pb: 0.8230 0.8242 0.6765  2 O 2.34-2.56
Pb: 0.6412 0.1833 0.3228  2 O 2.31-2.54
Pb: 0.0054 0.9999 0.0002  8 O 2.43-2.65
Pb: 0.1558 0.1697 0.3359  4 O 2.35-2.60
Bi: 0.1236 0.7172 0.3554  3 O 2.17-2.33
Bi: 0.2997 0.8476 0.6413  5 O 2.21-2.40
Bi: 0.8422 0.2903 0.6365  5 O 2.24-2.45


Entry 14:
Material: LiScP2O
Method: DFT, meta-GGA SCAN
State: single point on PBEsol structure

Properties
raw formation energy	-24.73	kJ/mol of atoms
size of the total moment	0.6	μB per formula unit

abc: 3.3804 4.5250 4.5250
angles: 90.00 90.00 90.00
Closest atoms and distances in Å follow each position.
Positions (direct):
P: 0.0000 0.5000 0.0000  2 Li 2.26
P: 0.0000 0.0000 0.5000  2 Li 2.26
Sc: 0.5000 0.5000 0.5000  8 P 2.82
Li: 0.0000 0.0000 0.0000  2 O 1.69
O: 0.5000 0.0000 0.0000  2 Li 1.69


Entry 15:
Material: Ag3SnI
Method: DFT, meta-GGA SCAN
State: single point on PBEsol structure

Properties
raw formation energy	88.57	kJ/mol of atoms
size of the total moment	0.0	μB per formula unit

abc: 5.2661 5.2661 5.2661
angles: 90.00 90.00 90.00
Closest atoms and distances in Å follow each position.
Positions (direct):
Ag: 0.0000 0.0000 0.5000  2 I 2.63
Ag: 0.5000 0.0000 0.0000  2 I 2.63
Ag: 0.0000 0.5000 0.0000  2 I 2.63
Sn: 0.5000 0.5000 0.5000  12 Ag 3.72
I: 0.0000 0.0000 0.0000  6 Ag 2.63


Entry 16:
Material: Nb2Ga2Pt
Method: DFT, meta-GGA SCAN
State: single point on PBEsol structure

Properties
energy relative to the elements	-0.55	eV per atom
size of the total moment	0.0	μB per formula unit

abc: 3.9689 6.3513 6.3513
angles: 90.00 90.00 90.00
Closest atoms and distances in Å follow each position.
Positions (direct):
Ga: 0.0000 0.8635 0.6365  1 Ga 2.45, 2 Pt 2.47, 2 Nb 2.68
Ga: 0.0000 0.6365 0.1365  1 Ga 2.45, 2 Pt 2.47, 2 Nb 2.68
Ga: 0.0000 0.1365 0.3635  1 Ga 2.45, 2 Pt 2.47, 2 Nb 2.68
Ga: 0.0000 0.3635 0.8635  1 Ga 2.45, 2 Pt 2.47, 2 Nb 2.68
Pt: 0.0000 0.0000 0.0000  4 Ga 2.47
Pt: 0.0000 0.5000 0.5000  4 Ga 2.47
Nb: 0.5000 0.8364 0.3364  6 Ga 2.68-2.76, 1 Nb 2.94
Nb: 0.5000 0.1636 0.6636  6 Ga 2.68-2.76, 1 Nb 2.94
Nb: 0.5000 0.6636 0.8364  6 Ga 2.68-2.76, 1 Nb 2.94
Nb: 0.5000 0.3364 0.1636  6 Ga 2.68-2.76, 1 Nb 2.94


Entry 17:
Material: ZnCdHg
Method: DFT, meta-GGA SCAN
State: single point on PBEsol structure

Properties
energy relative to the elements	0.11	eV per atom
energy above the lowest structure with this stoichiometry	1.33	kcal/mol of atoms
size of the total moment	0.0	μB per formula unit

abc: 3.0409 3.0409 6.5694
angles: 103.38 103.38 90.00
Closest atoms and distances in Å follow each position.
Positions (direct):
Hg: 0.6765 0.6765 0.3529  4 Zn 2.91, 4 Hg 3.04, 4 Cd 3.17
Zn: 0.3343 0.3343 0.6687  4 Cd 2.88, 4 Hg 2.91, 4 Zn 3.04
Cd: 0.9892 0.9892 0.9784  4 Zn 2.88, 4 Cd 3.04, 4 Hg 3.17


Entry 18:
Material: K2Bi2I
Method: DFT, meta-GGA SCAN
State: single point on PBEsol structure

Properties
raw formation energy	-48.29	kJ/mol of atoms
size of the total moment	0.0	μB per formula unit

abc: 4.7167 9.2674 9.2674
angles: 90.00 90.00 90.00
Closest atoms and distances in Å follow each position.
Positions (direct):
Bi: 0.0000 0.3946 0.8946  1 Bi 2.76
Bi: 0.0000 0.6054 0.1054  1 Bi 2.76
Bi: 0.0000 0.1054 0.3946  1 Bi 2.76
Bi: 0.0000 0.8946 0.6054  1 Bi 2.76
K: 0.5000 0.8080 0.3080  6 Bi 3.55-3.71
K: 0.5000 0.3080 0.1920  6 Bi 3.55-3.71
K: 0.5000 0.1920 0.6920  6 Bi 3.55-3.71
K: 0.5000 0.6920 0.8080  6 Bi 3.55-3.71
I: 0.0000 0.5000 0.5000  4 Bi 3.79, 8 K 4.11
I: 0.0000 0.0000 0.0000  4 Bi 3.79, 8 K 4.11


Entry 19:
Material: InTcTe4
Method: DFT, meta-GGA SCAN
State: single point on PBEsol structure

Properties
raw formation energy	88.27	kJ/mol of atoms
size of the total moment	4.9	μB per formula unit

abc: 6.2548 6.2548 6.2548
angles: 60.00 60.00 60.00
Closest atoms and distances in Å follow each position.
Positions (direct):
Te: 0.3743 0.3743 0.3743  6 Te 3.11-3.15
Te: 0.8772 0.3743 0.3743  6 Te 3.11-3.15
Te: 0.3743 0.3743 0.8772  6 Te 3.11-3.15
Te: 0.3743 0.8772 0.3743  6 Te 3.11-3.15
Tc: 0.0000 0.0000 0.0000  12 Te 3.67, 4 In 3.83
In: 0.7500 0.7500 0.7500  12 Te 3.67, 4 Tc 3.83


Entry 20:
Material: CdCoBi2B
Method: DFT, meta-GGA SCAN
State: single point on PBEsol structure

Properties
energy relative to the elements	0.74	eV per atom
size of the total moment	0.0	μB per formula unit

abc: 3.8151 5.1212 5.1212
angles: 90.00 90.00 90.00
Closest atoms and distances in Å follow each position.
Positions (direct):
Co: 0.5000 0.0000 0.0000  2 B 1.91
Bi: 0.0000 0.5000 0.0000  2 B 2.56
Bi: 0.0000 0.0000 0.5000  2 B 2.56
B: 0.0000 0.0000 0.0000  2 Co 1.91
Cd: 0.5000 0.5000 0.5000  8 Bi 3.19